This record from Alexandria via LeMat-Bulk describes a relaxed structure of PaZnIrO6. The functional is PBE-GGA.

Values from the calculation:
- total DFT energy (no corrections) (eV per atom) = -7.37
- ΔE_f (raw) (eV/atom) = -1.887

Cell: 4.8687 4.8687 9.7121 Å, 90.00 90.00 90.00°
Closest atoms and distances in Å follow each position.
Space group P4_2nm (No. 102)
One atom of each set of equivalent atoms:
Pa 0.0000 0.0000 0.0000 x2  6 O 2.17-2.21
Zn 0.0000 0.0000 0.6653 x2  6 O 2.10-2.21
Ir 0.0000 0.0000 0.3309 x2  6 O 1.95-2.02
O 0.1857 0.1857 0.4894 x4  1 Ir 2.00, 1 Zn 2.13, 1 Pa 2.17
O 0.1959 0.1959 0.1761 x4  1 Ir 2.02, 1 Zn 2.10, 1 Pa 2.18
O 0.2170 0.2170 0.8323 x4  1 Ir 1.95